(1)
The following is a DFT calculation (PBE) of a relaxed structure of TiNb3H.

Cell lengths 4.7116, 4.7116, 4.7116 Å; angles 90.00, 90.00, 90.00 degrees
Fractional coordinates of all 5 atoms:
1 Nb 0.0000 0.0000 0.5000
2 Nb 0.5000 0.0000 0.0000
3 Nb 0.0000 0.5000 0.0000
4 H 0.5000 0.5000 0.5000
5 Ti 0.0000 0.0000 0.0000

Results
Uncorrected energy ... -6.35 eV/atom
Total magnetic moment ... 0.0 μB per formula unit
Calculated volume ... 20.9 Å³ per atom
Relative energy among the computed polymorphs ... 1.861 eV/atom
D(E_F) ... 9.0 states/eV/cell

(2)
The following is a DFT calculation (PBE) of a relaxed structure of Ti5Nb2H12.

Cell lengths 5.4790, 6.1717, 5.8075 Å; angles 115.63, 90.00, 116.35 degrees
Fractional coordinates of all 19 atoms:
1 H 0.4209 0.2733 0.5354
2 H 0.0816 0.1632 0.8774
3 H 0.5058 0.6085 0.8835
4 H 0.4942 0.3915 0.1165
5 H 0.4743 0.9485 0.2171
6 H 0.5791 0.7267 0.4646
7 H 0.1476 0.7267 0.4646
8 H 0.5257 0.0515 0.7829
9 H 0.8524 0.2733 0.5354
10 H 0.9184 0.8368 0.1226
11 H 0.8973 0.3915 0.1165
12 H 0.1027 0.6085 0.8835
13 Nb 0.7526 0.0000 0.0000
14 Nb 0.2474 0.0000 0.0000
15 Ti 0.0000 0.0000 0.5000
16 Ti 0.7494 0.4987 0.4321
17 Ti 0.7208 0.4416 0.8797
18 Ti 0.2506 0.5013 0.5679
19 Ti 0.2792 0.5584 0.1203

Results
Uncorrected energy ... -5.52 eV/atom
Total magnetic moment ... 0.0 μB per formula unit
Calculated volume ... 8.1 Å³ per atom
D(E_F) ... 7.5 states/eV/cell

(3)
The following is a DFT calculation (PBE) of a relaxed structure of Ti5Nb3H12.

Cell lengths 9.5996, 9.5996, 9.5996 Å; angles 109.47, 109.47, 109.47 degrees
Fractional coordinates of all 80 atoms:
1 Ti 0.0000 0.0000 0.5000
2 Ti 0.3750 0.2500 0.1250
3 Ti 0.7500 0.6250 0.3750
4 Ti 0.5000 0.0000 0.5000
5 Ti 0.1250 0.7500 0.3750
6 Ti 0.2500 0.3750 0.6250
7 Ti 0.0000 0.0000 0.0000
8 Ti 0.1250 0.3750 0.2500
9 Ti 0.2500 0.8750 0.1250
10 Ti 0.6250 0.8750 0.2500
11 Ti 0.5000 0.0000 0.0000
12 Ti 0.6250 0.7500 0.8750
13 Ti 0.5000 0.5000 0.5000
14 Ti 0.8750 0.6250 0.7500
15 Ti 0.5000 0.5000 0.0000
16 Ti 0.7500 0.1250 0.8750
17 Ti 0.0000 0.5000 0.0000
18 Ti 0.0000 0.5000 0.5000
19 Ti 0.3750 0.1250 0.7500
20 Ti 0.8750 0.2500 0.6250
21 H 0.0792 0.9186 0.3560
22 H 0.9186 0.0792 0.8560
23 H 0.7768 0.4374 0.3560
24 H 0.5792 0.7232 0.6606
25 H 0.6440 0.5814 0.9208
26 H 0.8394 0.9208 0.2768
27 H 0.9186 0.8394 0.5626
28 H 0.4374 0.6606 0.0814
29 H 0.0814 0.9208 0.1440
30 H 0.0626 0.6440 0.7232
31 H 0.4374 0.7768 0.8560
32 H 0.4186 0.3560 0.5792
33 H 0.2768 0.4208 0.8394
34 H 0.4186 0.0626 0.3394
35 H 0.0792 0.1606 0.2232
36 H 0.9374 0.3560 0.2768
37 H 0.9374 0.5814 0.1606
38 H 0.5626 0.3394 0.9186
39 H 0.7232 0.1440 0.0626
40 H 0.3394 0.7768 0.4208
41 H 0.6606 0.4374 0.5814
42 H 0.6440 0.0626 0.2232
43 H 0.5626 0.2232 0.1440
44 H 0.9208 0.8394 0.7768
45 H 0.0626 0.4186 0.8394
46 H 0.5792 0.8560 0.4186
47 H 0.4208 0.2768 0.3394
48 H 0.1440 0.4208 0.0814
49 H 0.5814 0.9374 0.6606
50 H 0.9208 0.0814 0.6440
51 H 0.7768 0.3394 0.9208
52 H 0.8560 0.2768 0.4374
53 H 0.2232 0.5626 0.6440
54 H 0.8394 0.9186 0.0626
55 H 0.2232 0.6606 0.0792
56 H 0.8560 0.5792 0.9186
57 H 0.2768 0.8560 0.9374
58 H 0.6606 0.2232 0.5792
59 H 0.5814 0.6440 0.4208
60 H 0.4208 0.1440 0.5814
61 H 0.1606 0.0792 0.7232
62 H 0.1440 0.7232 0.5626
63 H 0.3560 0.4186 0.0792
64 H 0.1606 0.0814 0.9374
65 H 0.7232 0.5792 0.1606
66 H 0.3394 0.5626 0.4186
67 H 0.3560 0.9374 0.7768
68 H 0.0814 0.1606 0.4374
69 Nb 0.2500 0.1250 0.3750
70 Nb 0.7500 0.8750 0.6250
71 Nb 0.1250 0.8750 0.7500
72 Nb 0.6250 0.2500 0.3750
73 Nb 0.1250 0.2500 0.8750
74 Nb 0.3750 0.6250 0.2500
75 Nb 0.6250 0.3750 0.7500
76 Nb 0.7500 0.3750 0.1250
77 Nb 0.3750 0.7500 0.6250
78 Nb 0.2500 0.6250 0.8750
79 Nb 0.8750 0.1250 0.2500
80 Nb 0.8750 0.7500 0.1250

Results
Uncorrected energy ... -5.83 eV/atom
Total magnetic moment ... 0.0 μB per formula unit
Calculated volume ... 8.5 Å³ per atom
D(E_F) ... 37.8 states/eV/cell

(4)
The following is a DFT calculation (PBE) of a relaxed structure of TiNb3H4.

Cell lengths 4.9429, 4.8474, 6.8406 Å; angles 90.00, 90.00, 90.00 degrees
Fractional coordinates of all 16 atoms:
1 Nb 0.9987 0.2508 0.5000
2 Nb 0.9985 0.7512 0.7501
3 Nb 0.4985 0.2488 0.2501
4 Nb 0.4987 0.7492 0.0000
5 Nb 0.9985 0.7512 0.2499
6 Nb 0.4985 0.2488 0.7499
7 H 0.6384 0.1268 0.0000
8 H 0.6278 0.1151 0.5000
9 H 0.6278 0.6261 0.2556
10 H 0.6278 0.6261 0.7444
11 H 0.1278 0.3739 0.2444
12 H 0.1384 0.8732 0.5000
13 H 0.1278 0.3739 0.7556
14 H 0.1278 0.8849 0.0000
15 Ti 0.9979 0.2519 0.0000
16 Ti 0.4979 0.7481 0.5000

Results
Uncorrected energy ... -6.72 eV/atom
Total magnetic moment ... 0.0 μB per formula unit
Calculated volume ... 10.2 Å³ per atom
D(E_F) ... 3.1 states/eV/cell